Entry 1:
First-principles (PBE-GGA) data for a relaxed structure of LaTl12Te7, as listed in Alexandria.

Formation energy from raw total energies   -37 kJ per mole of atoms
Calculated density   7234 kg/m3
D(E_F)   5.65 states/eV per cell
Symmetry   R-3, No. 148

Cell: 11.7330 9.6965 9.6965 Å, 104.83 113.79 113.79°
Closest atoms and distances in Å follow each position.
Sites, in units of the cell vectors:
Tl1 0.4754 0.0871 0.3232  3 Te 3.17-3.40, 2 Tl 3.41-3.54
Tl2 0.6541 0.7532 0.4664  3 Te 3.34-3.38, 2 Tl 3.41-3.54
Tl3 0.6117 0.7639 0.0871  3 Te 3.17-3.40, 2 Tl 3.41-3.54
Tl4 0.1877 0.5336 0.2868  3 Te 3.34-3.38, 2 Tl 3.41-3.54
Tl5 0.8478 0.3232 0.2361  3 Te 3.17-3.40, 2 Tl 3.41-3.54
Tl6 0.3883 0.2361 0.9129  3 Te 3.17-3.40, 2 Tl 3.41-3.54
Tl7 0.5246 0.9129 0.6768  3 Te 3.17-3.40, 2 Tl 3.41-3.54
Tl8 0.1522 0.6768 0.7639  3 Te 3.17-3.40, 2 Tl 3.41-3.54
Tl9 0.8123 0.4664 0.7132  3 Te 3.34-3.38, 2 Tl 3.41-3.54
Tl10 0.3459 0.2468 0.5336  3 Te 3.34-3.38, 2 Tl 3.41-3.54
Tl11 0.0991 0.2868 0.7532  3 Te 3.34-3.38, 2 Tl 3.41-3.54
Tl12 0.9009 0.7132 0.2468  3 Te 3.34-3.38, 2 Tl 3.41-3.54
Te1 0.8714 0.2230 0.8906  5 Tl 3.17-3.40, 1 La 3.25
Te2 0.3516 0.3323 0.2230  5 Tl 3.17-3.40, 1 La 3.25
Te3 0.9807 0.1094 0.3323  5 Tl 3.17-3.40, 1 La 3.25
Te4 0.5000 0.0000 0.0000  6 Tl 3.19
Te5 0.1286 0.7770 0.1094  5 Tl 3.17-3.40, 1 La 3.25
Te6 0.6484 0.6677 0.7770  5 Tl 3.17-3.40, 1 La 3.25
Te7 0.0193 0.8906 0.6677  5 Tl 3.17-3.40, 1 La 3.25
La1 0.0000 0.0000 0.0000  6 Te 3.25

Entry 2:
First-principles (PBE-GGA) data for a relaxed structure of Mg3Co, as listed in Alexandria.

Calculated density   2967 kg/m3
D(E_F)   3.45 states/eV per cell
Symmetry   P-6m2, No. 187
Formation energy   0.1798 eV/atom

Cell: 3.0256 3.0256 9.3089 Å, 90.00 90.00 120.00°
Closest atoms and distances in Å follow each position.
Sites, in units of the cell vectors:
Co1 0.0000 0.0000 0.0000  6 Mg 2.64
Mg1 0.6667 0.3333 0.7880  3 Co 2.64
Mg2 0.6667 0.3333 0.2120  3 Co 2.64
Mg3 0.0000 0.0000 0.5000  12 Mg 3.03-3.20

Entry 3:
First-principles (PBE-GGA) data for a relaxed structure of Ac2Pr2Hg, as listed in Alexandria.

Calculated density   8380 kg/m3
D(E_F)   5.21 states/eV per cell
Energy above the most stable polymorph in this dataset   0 meV per atom
Symmetry   I4/mmm, No. 139
Formation energy   -0.1744 eV/atom

Cell: 3.9424 3.9424 12.2588 Å, 99.25 99.25 90.00°
Closest atoms and distances in Å follow each position.
Sites, in units of the cell vectors:
Pr1 0.1996 0.1996 0.3992  8 Pr 3.68-3.94, 4 Ac 3.87
Pr2 0.8004 0.8004 0.6008  8 Pr 3.68-3.94, 4 Ac 3.87
Ac1 0.5870 0.5870 0.1741  4 Hg 3.48, 4 Pr 3.87
Ac2 0.4130 0.4130 0.8259  4 Hg 3.48, 4 Pr 3.87
Hg1 0.0000 0.0000 0.0000  8 Ac 3.48

Entry 4:
First-principles (PBE-GGA) data for a relaxed structure of NaUCuS4, as listed in Alexandria.

Formation energy from raw total energies   -90 kJ per mole of atoms
Calculated density   5131 kg/m3
D(E_F)   5.31 states/eV per cell
Symmetry   P2_1/m, No. 11

Cell: 6.3392 5.9909 8.0765 Å, 90.00 107.15 90.00°
Closest atoms and distances in Å follow each position.
Sites, in units of the cell vectors:
S1 0.0241 0.9822 0.7159  1 Cu 2.25
S2 0.4495 0.7500 0.1529  1 Cu 2.25
S3 0.9759 0.0178 0.2841  1 Cu 2.25
S4 0.0241 0.5178 0.7159  1 Cu 2.25
S5 0.5449 0.2500 0.3955  1 Cu 2.23
S6 0.9759 0.4822 0.2841  1 Cu 2.25
S7 0.5505 0.2500 0.8471  1 Cu 2.25
S8 0.4551 0.7500 0.6045  1 Cu 2.23
U1 0.2468 0.2500 0.5604  6 S 2.54-2.76
U2 0.7532 0.7500 0.4396  6 S 2.54-2.76
Cu1 0.7643 0.2500 0.6684  4 S 2.23-2.25
Cu2 0.2357 0.7500 0.3316  4 S 2.23-2.25
Na1 0.2578 0.2500 0.0541  4 S 2.82-3.14
Na2 0.7422 0.7500 0.9459  4 S 2.82-3.14

Entry 5:
First-principles (PBE-GGA) data for a relaxed structure of AsPd2I4, as listed in Alexandria.

Formation energy from raw total energies   22 kJ per mole of atoms
Calculated density   5992 kg/m3
D(E_F)   10.14 states/eV per cell
Symmetry   I4/mmm, No. 139

Cell: 5.6973 5.6973 7.8958 Å, 68.85 68.85 90.00°
Closest atoms and distances in Å follow each position.
Sites, in units of the cell vectors:
I1 0.0000 0.5000 0.0000  2 As 2.85, 4 Pd 3.12
I2 0.7910 0.7910 0.4181  1 Pd 2.67, 1 As 2.84
I3 0.5000 0.0000 0.0000  2 As 2.85, 4 Pd 3.12
I4 0.2090 0.2090 0.5819  1 Pd 2.67, 1 As 2.84
Pd1 0.4058 0.4058 0.1884  1 Pd 2.56, 1 I 2.67
Pd2 0.5942 0.5942 0.8116  1 Pd 2.56, 1 I 2.67
As1 0.0000 0.0000 0.0000  6 I 2.84-2.85

Entry 6:
First-principles (PBE-GGA) data for a relaxed structure of Ce6In5Hg, as listed in Alexandria.

Calculated density   8354 kg/m3
D(E_F)   31.51 states/eV per cell
Symmetry   Cmmm, No. 65
Formation energy   -0.3541 eV/atom

Cell: 4.7354 9.5386 7.4922 Å, 90.00 71.58 90.00°
Closest atoms and distances in Å follow each position.
Sites, in units of the cell vectors:
In1 0.6673 0.5000 0.6654  4 In 3.34-3.36, 8 Ce 3.36-3.38
In2 0.0000 0.5000 0.0000  8 Ce 3.35-3.37, 4 In 3.36
In3 0.3310 0.0000 0.3381  2 In 3.30, 8 Ce 3.35-3.37, 2 Hg 3.37
In4 0.6690 0.0000 0.6619  2 In 3.30, 8 Ce 3.35-3.37, 2 Hg 3.37
In5 0.3327 0.5000 0.3346  4 In 3.34-3.36, 8 Ce 3.36-3.38
Ce1 0.1648 0.7504 0.6704  4 Ce 3.33-3.39, 1 Hg 3.34, 7 In 3.35-3.38
Ce2 0.8352 0.7504 0.3296  4 Ce 3.33-3.39, 1 Hg 3.34, 7 In 3.35-3.38
Ce3 0.5000 0.2484 0.0000  4 Ce 3.33, 2 Hg 3.35, 6 In 3.37-3.38
Ce4 0.1648 0.2496 0.6704  4 Ce 3.33-3.39, 1 Hg 3.34, 7 In 3.35-3.38
Ce5 0.5000 0.7516 0.0000  4 Ce 3.33, 2 Hg 3.35, 6 In 3.37-3.38
Ce6 0.8352 0.2496 0.3296  4 Ce 3.33-3.39, 1 Hg 3.34, 7 In 3.35-3.38
Hg1 0.0000 0.0000 0.0000  8 Ce 3.34-3.35, 4 In 3.37

Entry 7:
First-principles (PBE-GGA) data for a relaxed structure of OsPt2Cl, as listed in Alexandria.

Formation energy from raw total energies   67 kJ per mole of atoms
Calculated density   15093 kg/m3
D(E_F)   5.73 states/eV per cell
Energy above the most stable polymorph in this dataset   391 meV per atom
Symmetry   Immm, No. 71

Cell: 6.2553 6.2553 4.3326 Å, 69.76 69.76 25.31°
Closest atoms and distances in Å follow each position.
Sites, in units of the cell vectors:
Pt1 0.5441 0.5441 0.4559  2 Os 2.72, 6 Pt 2.74-2.75
Pt2 0.9559 0.9559 0.0441  2 Os 2.72, 6 Pt 2.74-2.75
Cl1 0.7500 0.7500 0.7500  4 Os 2.56, 2 Cl 2.74
Os1 0.2500 0.2500 0.2500  4 Cl 2.56, 4 Pt 2.72, 2 Os 2.74

Entry 8:
First-principles (PBE-GGA) data for a relaxed structure of Sb4PPb2, as listed in Alexandria.

Formation energy from raw total energies   14 kJ per mole of atoms
Calculated density   7577 kg/m3
D(E_F)   3.18 states/eV per cell
Symmetry   R-3m, No. 166

Cell: 13.4218 13.4218 13.4218 Å, 18.13 18.13 18.13°
Closest atoms and distances in Å follow each position.
Sites, in units of the cell vectors:
Sb1 0.2961 0.2961 0.2961  3 P 2.85, 3 Pb 3.15
Sb2 0.8549 0.8549 0.8549  3 Sb 2.98
Sb3 0.1451 0.1451 0.1451  3 Sb 2.98
Sb4 0.7039 0.7039 0.7039  3 P 2.85, 3 Pb 3.15
P1 0.0000 0.0000 0.0000  6 Sb 2.85
Pb1 0.4208 0.4208 0.4208  6 Sb 3.15-3.34
Pb2 0.5792 0.5792 0.5792  6 Sb 3.15-3.34

Entry 9:
First-principles (PBE-GGA) data for a relaxed structure of Na10B13C7, as listed in Alexandria.

Calculated density   2468 kg/m3
D(E_F)   8.22 states/eV per cell
Energy above the most stable polymorph in this dataset   9 meV per atom
Symmetry   Amm2, No. 38
Formation energy   0.0943 eV/atom

Cell: 12.7254 12.7254 8.5204 Å, 90.00 90.00 167.19°
Closest atoms and distances in Å follow each position.
Sites, in units of the cell vectors:
Na1 0.9997 0.0003 0.9984  8 B 2.64-2.75, 4 C 2.71-2.73, 6 Na 2.84-2.91
Na2 0.3998 0.6002 0.4985  4 C 2.67-2.71, 8 B 2.68-2.82, 6 Na 2.84-2.90
Na3 0.2000 0.8000 0.4983  8 B 2.64-2.75, 4 C 2.68-2.75, 6 Na 2.84-2.90
Na4 0.9997 0.0003 0.5016  8 B 2.64-2.75, 4 C 2.71-2.73, 6 Na 2.84-2.91
Na5 0.6001 0.3999 0.9955  8 B 2.66-2.79, 4 C 2.71-2.75, 6 Na 2.84-2.91
Na6 0.6001 0.3999 0.5045  8 B 2.66-2.79, 4 C 2.71-2.75, 6 Na 2.84-2.91
Na7 0.2000 0.8000 0.0017  8 B 2.64-2.75, 4 C 2.68-2.75, 6 Na 2.84-2.90
Na8 0.8001 0.1999 0.5000  7 B 2.67-2.76, 5 C 2.68-2.70, 6 Na 2.84-2.90
Na9 0.3998 0.6002 0.0015  4 C 2.67-2.71, 8 B 2.68-2.82, 6 Na 2.84-2.90
Na10 0.8001 0.1999 0.0000  7 B 2.67-2.76, 5 C 2.68-2.70, 6 Na 2.84-2.90
C1 0.8654 0.1346 0.7500  3 B 1.63-1.65
C2 0.4627 0.5373 0.7500  3 B 1.62-1.64
C3 0.3331 0.6669 0.2500  3 B 1.60-1.62
C4 0.6709 0.3291 0.7500  3 B 1.63-1.67
C5 0.2682 0.7318 0.7500  3 B 1.63-1.65
C6 0.1310 0.8690 0.2500  3 B 1.61-1.62
C7 0.5359 0.4641 0.2500  3 B 1.58-1.62
B1 0.7367 0.2633 0.7500  3 C 1.63-1.67
B2 0.8642 0.1358 0.2500  2 C 1.62, 1 B 1.75
B3 0.5268 0.4732 0.7500  1 C 1.62, 2 B 1.75
B4 0.3336 0.6664 0.7500  3 C 1.63-1.65
B5 0.0672 0.9328 0.7500  3 B 1.75-1.82
B6 0.1393 0.8607 0.7500  2 C 1.63
B7 0.2696 0.7304 0.2500  1 C 1.60, 2 B 1.72
B8 0.9305 0.0695 0.7500  3 C 1.64-1.65
B9 0.4732 0.5268 0.2500  1 C 1.58, 2 B 1.74
B10 0.6612 0.3388 0.2500  2 C 1.61, 1 B 1.76
B11 0.0667 0.9333 0.2500  3 C 1.62
B12 0.9333 0.0667 0.2500  3 B 1.74-1.75
B13 0.7309 0.2691 0.2500  3 B 1.72-1.76

Entry 10:
First-principles (PBE-GGA) data for a relaxed structure of Hg2Te2As, as listed in Alexandria.

Formation energy from raw total energies   16 kJ per mole of atoms
Calculated density   7991 kg/m3
D(E_F)   3.93 states/eV per cell
Symmetry   P4/mbm, No. 127

Cell: 8.2222 8.2222 4.4956 Å, 90.00 90.00 90.00°
Closest atoms and distances in Å follow each position.
Sites, in units of the cell vectors:
Te1 0.7757 0.7243 0.0000  2 Hg 2.90, 2 As 2.92
Te2 0.7243 0.2243 0.0000  2 Hg 2.90, 2 As 2.92
Te3 0.2757 0.7757 0.0000  2 Hg 2.90, 2 As 2.92
Te4 0.2243 0.2757 0.0000  2 Hg 2.90, 2 As 2.92
Hg1 0.1185 0.6185 0.5000  1 Hg 2.76, 2 Te 2.90
Hg2 0.8815 0.3815 0.5000  1 Hg 2.76, 2 Te 2.90
Hg3 0.3815 0.1185 0.5000  1 Hg 2.76, 2 Te 2.90
Hg4 0.6185 0.8815 0.5000  1 Hg 2.76, 2 Te 2.90
As1 0.5000 0.5000 0.0000  4 Te 2.92
As2 0.0000 0.0000 0.0000  4 Te 2.92